No. 1
Tb3Pr4In | the Alexandria database | GGA-PBE | optimized geometry; mass density = 7.41 Mg/m³
1.0
10.1645 0.0000 0.0000
0.0000 7.0919 0.0000
0.0000 0.0000 7.1861
Tb Pr In
6 8 2
Direct
0.0000 0.0002 0.0000 Tb
0.2501 0.2600 0.2501 Tb
0.2499 0.7400 0.7501 Tb
0.5000 0.9998 0.5000 Tb
0.7499 0.2600 0.2501 Tb
0.7501 0.7400 0.7501 Tb
0.0000 0.0011 0.5004 Pr
0.0000 0.4997 0.0000 Pr
0.2495 0.7495 0.2502 Pr
0.2505 0.2505 0.7502 Pr
0.5000 0.5003 0.5000 Pr
0.5000 0.9989 0.0004 Pr
0.7495 0.2505 0.7502 Pr
0.7505 0.7495 0.2502 Pr
0.0000 0.5004 0.5004 In
0.5000 0.4996 0.0004 In



No. 2
Tb7Pr12In | the Alexandria database | GGA-PBE | optimized geometry; mass density = 7.04 Mg/m³
1.0
6.2074 3.5839 5.1559
-6.2074 3.5839 5.1559
0.0000 -7.1677 5.1559
Tb Pr In
7 12 1
Direct
0.0000 0.0000 0.0000 Tb
0.1213 0.4380 0.3557 Tb
0.3557 0.1213 0.4380 Tb
0.4380 0.3557 0.1213 Tb
0.5620 0.6443 0.8787 Tb
0.6443 0.8787 0.5620 Tb
0.8787 0.5620 0.6443 Tb
0.0059 0.8847 0.3570 Pr
0.1153 0.6430 0.9941 Pr
0.2361 0.3708 0.7623 Pr
0.2377 0.7639 0.6292 Pr
0.3570 0.0059 0.8847 Pr
0.3708 0.7623 0.2361 Pr
0.6292 0.2377 0.7639 Pr
0.6430 0.9941 0.1153 Pr
0.7623 0.2361 0.3708 Pr
0.7639 0.6292 0.2377 Pr
0.8847 0.3570 0.0059 Pr
0.9941 0.1153 0.6430 Pr
0.5000 0.5000 0.5000 In



No. 3
Tb9Pr4In11 | the Alexandria database | GGA-PBE | optimized geometry; mass density = 8.05 Mg/m³
1.0
8.0910 -11.8084 0.0000
8.0910 11.8084 0.0000
0.0000 0.0000 3.5175
Tb Pr In
9 4 11
Direct
0.0000 0.0000 0.0000 Tb
0.1107 0.6664 0.0000 Tb
0.2970 0.4922 0.0000 Tb
0.3336 0.8893 0.0000 Tb
0.4922 0.2970 0.0000 Tb
0.5078 0.7030 0.0000 Tb
0.6664 0.1107 0.0000 Tb
0.7030 0.5078 0.0000 Tb
0.8893 0.3336 0.0000 Tb
0.0947 0.2576 0.0000 Pr
0.2576 0.0947 0.0000 Pr
0.7424 0.9053 0.0000 Pr
0.9053 0.7424 0.0000 Pr
0.0910 0.4622 0.5000 In
0.1213 0.8787 0.5000 In
0.3042 0.3042 0.5000 In
0.3102 0.6898 0.5000 In
0.4622 0.0910 0.5000 In
0.5000 0.5000 0.5000 In
0.5378 0.9090 0.5000 In
0.6898 0.3102 0.5000 In
0.6958 0.6958 0.5000 In
0.8787 0.1213 0.5000 In
0.9090 0.5378 0.5000 In



No. 4
Tb2PrIn2 | the Alexandria database | GGA-PBE | optimized geometry; mass density = 7.24 Mg/m³
1.0
-2.3177 2.3177 14.6923
2.3177 -2.3177 14.6923
2.3177 2.3177 -14.6923
Tb Pr In
4 2 4
Direct
0.0734 0.0734 0.0000 Tb
0.2500 0.7500 0.5000 Tb
0.7500 0.2500 0.5000 Tb
0.9266 0.9266 0.0000 Tb
0.3664 0.3664 0.0000 Pr
0.6336 0.6336 0.0000 Pr
0.0000 0.5000 0.5000 In
0.1750 0.1750 0.0000 In
0.5000 0.0000 0.5000 In
0.8250 0.8250 0.0000 In



No. 5
Tb15Pr4In | the Alexandria database | GGA-PBE | optimized geometry; mass density = 7.91 Mg/m³
1.0
5.0272 0.0000 0.0000
0.0000 5.0272 0.0000
0.0000 0.0000 25.4353
Tb Pr In
15 4 1
Direct
0.0000 0.0000 0.0000 Tb
0.0000 0.0000 0.1942 Tb
0.0000 0.0000 0.3982 Tb
0.0000 0.0000 0.6018 Tb
0.0000 0.0000 0.8058 Tb
0.0000 0.5000 0.0950 Tb
0.0000 0.5000 0.2976 Tb
0.0000 0.5000 0.5000 Tb
0.0000 0.5000 0.7024 Tb
0.0000 0.5000 0.9050 Tb
0.5000 0.0000 0.0950 Tb
0.5000 0.0000 0.2976 Tb
0.5000 0.0000 0.5000 Tb
0.5000 0.0000 0.7024 Tb
0.5000 0.0000 0.9050 Tb
0.5000 0.5000 0.1972 Pr
0.5000 0.5000 0.3989 Pr
0.5000 0.5000 0.6011 Pr
0.5000 0.5000 0.8028 Pr
0.5000 0.5000 0.0000 In



No. 6
Tb5Pr4In | the Alexandria database | GGA-PBE | optimized geometry; mass density = 7.09 Mg/m³
1.0
-5.4079 5.4079 2.9477
5.4079 -5.4079 2.9477
5.4079 5.4079 -2.9477
Tb Pr In
5 4 1
Direct
0.0000 0.0000 0.0000 Tb
0.5250 0.5250 0.6314 Tb
0.5250 0.8936 0.0000 Tb
0.8936 0.5250 0.0000 Tb
0.8936 0.8936 0.3686 Tb
0.2053 0.5155 0.3102 Pr
0.2053 0.8951 0.6898 Pr
0.5155 0.2053 0.3102 Pr
0.8951 0.2053 0.6898 Pr
0.4836 0.4836 0.0000 In



No. 7
Tb2Pr6In | the Alexandria database | GGA-PBE | optimized geometry; mass density = 7.02 Mg/m³
1.0
10.9497 0.0000 0.0000
0.0000 10.9497 0.0000
0.0000 0.0000 5.0466
Tb Pr In
4 12 2
Direct
0.1621 0.1621 0.0000 Tb
0.3379 0.6621 0.5000 Tb
0.6621 0.3379 0.5000 Tb
0.8379 0.8379 0.0000 Tb
0.0037 0.6681 0.5000 Pr
0.1579 0.8421 0.0000 Pr
0.1681 0.4963 0.0000 Pr
0.3319 0.9963 0.5000 Pr
0.3421 0.3421 0.5000 Pr
0.4963 0.1681 0.0000 Pr
0.5037 0.8319 0.0000 Pr
0.6579 0.6579 0.5000 Pr
0.6681 0.0037 0.5000 Pr
0.8319 0.5037 0.0000 Pr
0.8421 0.1579 0.0000 Pr
0.9963 0.3319 0.5000 Pr
0.0000 0.0000 0.5000 In
0.5000 0.5000 0.0000 In



No. 8
Tb2PrIn2 | the Alexandria database | GGA-PBE | optimized geometry; mass density = 7.82 Mg/m³
1.0
1.9024 -14.0803 0.0000
1.9024 14.0803 0.0000
0.0000 0.0000 5.4559
Tb Pr In
4 2 4
Direct
0.0487 0.9513 0.7500 Tb
0.2361 0.7639 0.7500 Tb
0.7639 0.2361 0.2500 Tb
0.9513 0.0487 0.2500 Tb
0.1475 0.8525 0.2500 Pr
0.8525 0.1475 0.7500 Pr
0.3568 0.6432 0.2500 In
0.4530 0.5470 0.7500 In
0.5470 0.4530 0.2500 In
0.6432 0.3568 0.7500 In



Looking at total DFT energy (no corrections) for the records above, in order, we have -4.55 -4.49 -4.20 -4.06 -4.60 -4.44 -4.58 -4.28 eV per atom.